1.
This record from Alexandria describes crystalline CeNbSi2Ir5 at its relaxed geometry. The functional is GGA-PBE.

The calculation puts the raw total energy at -75.69 eV/cell. The energy relative to the elements, uncorrected is -0.504 eV per atom.

The structure belongs to space group P4/mmm (No. 123); the cell edges are 4.000, 4.000 and 10.796 Å and the angles 90.00°, 90.00° and 90.00°. The asymmetric unit holds Ce at (0.000, 0.000, 0.000), Nb at (0.000, 0.000, 0.500), Si at (0.500, 0.500, 0.219), Ir at (0.000, 0.500, 0.336) and Ir at (0.500, 0.500, 0.000).

2.
This record from Alexandria describes crystalline CeNdIr4 at its relaxed geometry. The functional is GGA-PBE.

For the formation energy, the calculation gives -4.4 eV per formula unit. The calculation puts the raw total energy at -202.09 eV/cell.

The structure belongs to space group F-43m (No. 216); the cell edges are 7.664, 7.664 and 7.664 Å and the angles 90.00°, 90.00° and 90.00°. The asymmetric unit holds Ce at (0.000, 0.000, 0.000), Nd at (0.250, 0.250, 0.250) and Ir at (0.125, 0.125, 0.625).

3.
This record from Alexandria describes crystalline CeNdIr2 at its relaxed geometry. The functional is GGA-PBE.

For the formation energy, the calculation gives -2.8 eV per formula unit. The calculation puts the raw total energy at -62.50 eV/cell. Its polymorph energy (0 for the lowest one) is 0.02 eV/f.u.

The structure belongs to space group Amm2 (No. 38); the cell edges are 4.188, 3.923 and 11.073 Å and the angles 90.00°, 90.00° and 90.00°. The asymmetric unit holds Ce at (0.000, 0.000, 0.000), Nd at (0.500, 0.000, 0.720), Ir at (0.000, 0.000, 0.277) and Ir at (0.500, 0.000, 0.453).

4.
This record from Alexandria describes crystalline Ce3NdIr2 at its relaxed geometry. The functional is GGA-PBE.

For the formation energy, the calculation gives -2.9 eV per formula unit. The calculation puts the raw total energy at -172.79 eV/cell.

The structure belongs to space group C2/m (No. 12); the cell edges are 16.553, 4.584 and 8.540 Å and the angles 90.00°, 118.41° and 90.00°. The asymmetric unit holds Ce at (0.069, 0.000, 0.426), Ce at (0.124, 0.500, 0.700), Ce at (0.210, 0.500, 0.368), Nd at (0.110, 0.000, 0.030), Ir at (0.022, 0.500, 0.193) and Ir at (0.237, 0.000, 0.883).

5.
This record from Alexandria describes crystalline CeNd5Ir5 at its relaxed geometry. The functional is GGA-PBE.

For the formation energy, the calculation gives -5.6 eV per formula unit. The calculation puts the raw total energy at -159.46 eV/cell.

The structure belongs to space group C2/m (No. 12); the cell edges are 13.033, 5.802 and 8.257 Å and the angles 90.00°, 108.67° and 90.00°. The asymmetric unit holds Ce at (0.000, 0.000, 0.000), Nd at (0.000, 0.000, 0.500), Nd at (0.172, 0.500, 0.844), Nd at (0.178, 0.500, 0.327), Ir at (0.000, 0.500, 0.000), Ir at (0.152, 0.000, 0.832) and Ir at (0.160, 0.000, 0.327).

6.
This record from Alexandria describes crystalline Ce3Nd2Ir2 at its relaxed geometry. The functional is GGA-PBE.

For the formation energy, the calculation gives -3.4 eV per formula unit. The calculation puts the raw total energy at -96.85 eV/cell.

The structure belongs to space group C2/m (No. 12); the cell edges are 11.979, 3.903 and 8.795 Å and the angles 90.00°, 114.64° and 90.00°. The asymmetric unit holds Ce at (0.000, 0.000, 0.000), Ce at (0.119, 0.000, 0.449), Nd at (0.159, 0.500, 0.809) and Ir at (0.142, 0.500, 0.237).

7.
This record from Alexandria describes crystalline CeNd2Ir2 at its relaxed geometry. The functional is GGA-PBE.

For the formation energy, the calculation gives -3.0 eV per formula unit. The calculation puts the raw total energy at -144.87 eV/cell. Its polymorph energy (0 for the lowest one) is 0.13 eV/f.u.

The structure belongs to space group C2/m (No. 12); the cell edges are 12.858, 4.029 and 11.560 Å and the angles 90.00°, 121.87° and 90.00°. The asymmetric unit holds Ce at (0.200, 0.000, 0.357), Nd at (0.041, 0.500, 0.691), Nd at (0.166, 0.500, 0.077), Ir at (0.010, 0.000, 0.881) and Ir at (0.131, 0.000, 0.563).

8.
This record from Alexandria describes crystalline Ce2NdIr at its relaxed geometry. The functional is GGA-PBE.

For the formation energy, the calculation gives -1.1 eV per formula unit. The calculation puts the raw total energy at -79.91 eV/cell. Its polymorph energy (0 for the lowest one) is 0.52 eV/f.u.

The structure belongs to space group R-3m (No. 166, hexagonal axes); the cell edges are 3.9041, 3.9041 and 27.5184 Å and the angles 90.00°, 90.00° and 120.00°. The asymmetric unit holds Ce at (0.0000, 0.0000, 0.2267), Nd at (0.0000, 0.0000, 0.0000) and Ir at (0.0000, 0.0000, 0.5000).

9.
This record from Alexandria describes crystalline CeNd2Ir9 at its relaxed geometry. The functional is GGA-PBE.

For the formation energy, the calculation gives -6.5 eV per formula unit. The calculation puts the raw total energy at -305.21 eV/cell.

The structure belongs to space group R-3m (No. 166, hexagonal axes); the cell edges are 5.3617, 5.3617 and 26.6294 Å and the angles 90.00°, 90.00° and 120.00°. The asymmetric unit holds Ce at (0.0000, 0.0000, 0.0000), Nd at (0.0000, 0.0000, 0.1397), Ir at (0.0000, 0.0000, 0.3325), Ir at (0.0000, 0.0000, 0.5000) and Ir at (0.0024, 0.5012, 0.0809).

10.
This record from Alexandria describes crystalline CeNd3Ir3 at its relaxed geometry. The functional is GGA-PBE.

For the formation energy, the calculation gives -4.4 eV per formula unit. The calculation puts the raw total energy at -307.29 eV/cell. Its polymorph energy (0 for the lowest one) is 0.00 eV/f.u.

The structure belongs to space group R-3 (No. 148, hexagonal axes); the cell edges are 8.5461, 8.5461 and 17.6720 Å and the angles 90.00°, 90.00° and 120.00°. The asymmetric unit holds Ce at (0.0000, 0.0000, 0.1773), Nd at (0.0194, 0.7349, 0.6025) and Ir at (0.0133, 0.6265, 0.4380).

11.
This record from Alexandria describes crystalline CeNd8Ir6 at its relaxed geometry. The functional is GGA-PBE.

For the formation energy, the calculation gives -9.0 eV per formula unit. The calculation puts the raw total energy at -318.62 eV/cell.

The structure belongs to space group R-3 (No. 148, hexagonal axes); the cell edges are 8.4318, 8.4318 and 19.0101 Å and the angles 90.00°, 90.00° and 120.00°. The asymmetric unit holds Ce at (0.0000, 0.0000, 0.0000), Nd at (0.0000, 0.0000, 0.3371), Nd at (0.0045, 0.3266, 0.2210) and Ir at (0.0012, 0.3211, 0.0555).

What did the fourth record say?
This record from Alexandria describes crystalline Ce3NdIr2 at its relaxed geometry. The functional is GGA-PBE.

For the formation energy, the calculation gives -2.9 eV per formula unit. The calculation puts the raw total energy at -172.79 eV/cell.

The structure belongs to space group C2/m (No. 12); the cell edges are 16.553, 4.584 and 8.540 Å and the angles 90.00°, 118.41° and 90.00°. The asymmetric unit holds Ce at (0.069, 0.000, 0.426), Ce at (0.124, 0.500, 0.700), Ce at (0.210, 0.500, 0.368), Nd at (0.110, 0.000, 0.030), Ir at (0.022, 0.500, 0.193) and Ir at (0.237, 0.000, 0.883).